Here is MgNiO2 after structural relaxation from the Alexandria database. Energies are from PBE+U.

The structure in CIF format:
```
data_MgNiO2
_chemical_formula_sum 'Mg3 Ni3 O6'
_space_group_name_H-M_alt 'R -3 m'
_space_group_IT_number 166
_space_group_name_Hall '-R 3 2"'
_cell_length_a 3.0015
_cell_length_b 3.0015
_cell_length_c 14.5627
_cell_angle_alpha 90.00
_cell_angle_beta 90.00
_cell_angle_gamma 120.00
loop_
_atom_site_label
_atom_site_type_symbol
_atom_site_fract_x
_atom_site_fract_y
_atom_site_fract_z
Mg1 Mg 0.0000 0.0000 0.0000
Ni1 Ni 0.0000 0.0000 0.5000
O1 O 0.0000 0.0000 0.2508
```

Calculated density (g/cm3): 5.04
Total energy (eV per cell): -65.1
Magnetization (μB per formula unit): 2.000
Crystal system: trigonal